Record 1
{
  "formula": "TcPPbCl2",
  "functional": "SCAN",
  "state": "single point on PBEsol structure",
  "lattice": [[5.1875, 0.0000, 0.0000], [0.0000, 5.1875, 0.0000], [0.0000, 0.0000, 5.3585]],
  "species": ["Tc", "P", "Pb", "Cl", "Cl"],
  "frac_coords": [[0.0000, 0.0000, 0.0000], [0.5000, 0.5000, 0.0000], [0.5000, 0.5000, 0.5000], [0.0000, 0.5000, 0.5000], [0.5000, 0.0000, 0.5000]],
  "dft_energy_ry_per_atom": -1.9604,
  "raw_formation_energy_ev_per_atom": 0.767,
  "crystal_system": "tetragonal"
}


Record 2
{
  "formula": "P2PbWCl",
  "functional": "SCAN",
  "state": "single point on PBEsol structure",
  "lattice": [[4.7145, 0.0000, 0.0000], [0.0000, 4.7145, 0.0000], [0.0000, 0.0000, 4.8128]],
  "species": ["P", "P", "Pb", "W", "Cl"],
  "frac_coords": [[0.0000, 0.5000, 0.0000], [0.5000, 0.0000, 0.0000], [0.0000, 0.0000, 0.5000], [0.5000, 0.5000, 0.0000], [0.5000, 0.5000, 0.5000]],
  "dft_energy_ry_per_atom": -2.5422,
  "raw_formation_energy_ev_per_atom": 0.261,
  "crystal_system": "tetragonal"
}


Record 3
{
  "formula": "ZnPPbCl2",
  "functional": "SCAN",
  "state": "single point on PBEsol structure",
  "lattice": [[4.6848, 0.0000, 0.0000], [0.0000, 4.6848, 0.0000], [0.0000, 0.0000, 4.9585]],
  "species": ["Zn", "P", "Pb", "Cl", "Cl"],
  "frac_coords": [[0.0000, 0.0000, 0.0000], [0.0000, 0.0000, 0.5000], [0.5000, 0.5000, 0.5000], [0.0000, 0.5000, 0.0000], [0.5000, 0.0000, 0.0000]],
  "dft_energy_ry_per_atom": -1.7198,
  "raw_formation_energy_ev_per_atom": -0.269,
  "crystal_system": "tetragonal"
}


Record 4
{
  "formula": "RbPPdCl2",
  "functional": "SCAN",
  "state": "single point on PBEsol structure",
  "lattice": [[5.9132, 0.0000, 0.0000], [0.0000, 5.9132, 0.0000], [0.0000, 0.0000, 6.2015]],
  "species": ["Rb", "P", "Pd", "Cl", "Cl"],
  "frac_coords": [[0.0000, 0.0000, 0.0000], [0.0000, 0.0000, 0.5000], [0.5000, 0.5000, 0.5000], [0.0000, 0.5000, 0.0000], [0.5000, 0.0000, 0.0000]],
  "dft_energy_ry_per_atom": -1.1183,
  "raw_formation_energy_ev_per_atom": 0.758,
  "crystal_system": "tetragonal"
}


Record 5
{
  "formula": "ReP2PdCl",
  "functional": "SCAN",
  "state": "single point on PBEsol structure",
  "lattice": [[4.6042, 0.0000, 0.0000], [0.0000, 4.6042, 0.0000], [0.0000, 0.0000, 4.5608]],
  "species": ["Re", "P", "P", "Pd", "Cl"],
  "frac_coords": [[0.0000, 0.0000, 0.0000], [0.0000, 0.5000, 0.5000], [0.5000, 0.0000, 0.5000], [0.5000, 0.5000, 0.5000], [0.5000, 0.5000, 0.0000]],
  "dft_energy_ry_per_atom": -1.8480,
  "raw_formation_energy_ev_per_atom": 1.386,
  "crystal_system": "tetragonal",
  "de_polymorph_mev_per_atom": 736
}


Record 6
{
  "formula": "ReP2PdCl",
  "functional": "SCAN",
  "state": "single point on PBEsol structure",
  "lattice": [[4.4973, 0.0000, 0.0000], [0.0000, 4.4973, 0.0000], [0.0000, 0.0000, 4.9121]],
  "species": ["Re", "P", "P", "Pd", "Cl"],
  "frac_coords": [[0.0000, 0.0000, 0.0000], [0.0000, 0.5000, 0.0000], [0.5000, 0.0000, 0.0000], [0.5000, 0.5000, 0.5000], [0.0000, 0.0000, 0.5000]],
  "dft_energy_ry_per_atom": -1.9022,
  "raw_formation_energy_ev_per_atom": 0.649,
  "crystal_system": "tetragonal",
  "de_polymorph_mev_per_atom": 0
}


Record 7
{
  "formula": "P2PdRuCl",
  "functional": "SCAN",
  "state": "single point on PBEsol structure",
  "lattice": [[4.4217, 0.0000, 0.0000], [0.0000, 4.4217, 0.0000], [0.0000, 0.0000, 4.8746]],
  "species": ["P", "P", "Pd", "Ru", "Cl"],
  "frac_coords": [[0.0000, 0.5000, 0.0000], [0.5000, 0.0000, 0.0000], [0.0000, 0.0000, 0.5000], [0.5000, 0.5000, 0.0000], [0.5000, 0.5000, 0.5000]],
  "dft_energy_ry_per_atom": -1.3747,
  "raw_formation_energy_ev_per_atom": 0.572,
  "crystal_system": "tetragonal"
}


Record 8
{
  "formula": "PPdSCl2",
  "functional": "SCAN",
  "state": "single point on PBEsol structure",
  "lattice": [[4.5175, 0.0000, 0.0000], [0.0000, 4.5175, 0.0000], [0.0000, 0.0000, 4.7328]],
  "species": ["P", "Pd", "S", "Cl", "Cl"],
  "frac_coords": [[0.0000, 0.0000, 0.0000], [0.5000, 0.5000, 0.0000], [0.0000, 0.0000, 0.5000], [0.0000, 0.5000, 0.5000], [0.5000, 0.0000, 0.5000]],
  "dft_energy_ry_per_atom": -0.9497,
  "raw_formation_energy_ev_per_atom": 0.831,
  "crystal_system": "tetragonal"
}


Number 2 is which compound? P2PbWCl


Repeat the eighth record exactly.
{
  "formula": "PPdSCl2",
  "functional": "SCAN",
  "state": "single point on PBEsol structure",
  "lattice": [[4.5175, 0.0000, 0.0000], [0.0000, 4.5175, 0.0000], [0.0000, 0.0000, 4.7328]],
  "species": ["P", "Pd", "S", "Cl", "Cl"],
  "frac_coords": [[0.0000, 0.0000, 0.0000], [0.5000, 0.5000, 0.0000], [0.0000, 0.0000, 0.5000], [0.0000, 0.5000, 0.5000], [0.5000, 0.0000, 0.5000]],
  "dft_energy_ry_per_atom": -0.9497,
  "raw_formation_energy_ev_per_atom": 0.831,
  "crystal_system": "tetragonal"
}